VASP calculation (PBE) on a relaxed structure of SmDy8Th3.

a = 8.361 Å, b = 8.361 Å, c = 8.361 Å
α = 117.17°, β = 117.17°, γ = 94.98°
Atoms (fractional coordinates):
1 Sm 0.000 0.000 0.000
2 Dy 0.118 0.118 0.745
3 Dy 0.224 0.224 0.482
4 Dy 0.259 0.776 0.000
5 Dy 0.373 0.373 0.255
6 Dy 0.627 0.882 0.000
7 Dy 0.741 0.741 0.518
8 Dy 0.776 0.259 0.000
9 Dy 0.882 0.627 0.000
10 Th 0.250 0.750 0.500
11 Th 0.500 0.500 0.000
12 Th 0.750 0.250 0.500

DFT total energy	-0.168	Ha/atom
spin magnetization	0.000	μB per atom
formation energy	0.74	eV/atom
N(E_F)	18.89	states/eV per cell

---

VASP calculation (PBE) on a relaxed structure of La4Te3C.

a = 10.376 Å, b = 8.980 Å, c = 6.406 Å
α = 90.00°, β = 90.00°, γ = 90.00°
Atoms (fractional coordinates):
1 La 0.000 0.095 0.000
2 La 0.000 0.833 0.533
3 La 0.206 0.709 0.997
4 La 0.294 0.291 0.497
5 La 0.500 0.167 0.033
6 La 0.500 0.905 0.500
7 La 0.706 0.291 0.497
8 La 0.794 0.709 0.997
9 Te 0.000 0.182 0.504
10 Te 0.234 0.344 0.000
11 Te 0.266 0.656 0.500
12 Te 0.500 0.818 0.004
13 Te 0.734 0.656 0.500
14 Te 0.766 0.344 0.000
15 C 0.000 0.826 0.913
16 C 0.500 0.174 0.413

DFT total energy	-0.214	Ha/atom
spin magnetization	0.124	μB per atom
N(E_F)	10.99	states/eV per cell

---

VASP calculation (PBE) on a relaxed structure of ScZn2Co.

a = 3.088 Å, b = 3.088 Å, c = 23.630 Å
α = 90.00°, β = 90.00°, γ = 120.00°
Atoms (fractional coordinates):
1 Sc 0.000 0.000 0.000
2 Sc 0.333 0.667 0.667
3 Sc 0.667 0.333 0.333
4 Zn 0.000 0.000 0.516
5 Zn 0.000 0.000 0.765
6 Zn 0.333 0.667 0.183
7 Zn 0.333 0.667 0.431
8 Zn 0.667 0.333 0.098
9 Zn 0.667 0.333 0.849
10 Co 0.000 0.000 0.257
11 Co 0.333 0.667 0.924
12 Co 0.667 0.333 0.590

DFT total energy	-0.145	Ha/atom
spin magnetization	0.093	μB per atom
formation energy	0.06	eV/atom
N(E_F)	8.31	states/eV per cell

---

VASP calculation (PBE) on a relaxed structure of Pm3Ag5.

a = 11.451 Å, b = 7.791 Å, c = 9.456 Å
α = 82.60°, β = 42.43°, γ = 54.97°
Atoms (fractional coordinates):
1 Pm 0.000 0.000 0.000
2 Pm 0.250 0.250 0.250
3 Pm 0.263 0.724 0.399
4 Pm 0.635 0.851 0.526
5 Pm 0.724 0.263 0.615
6 Pm 0.851 0.635 0.987
7 Ag 0.045 0.285 0.124
8 Ag 0.126 0.704 0.205
9 Ag 0.263 0.450 0.854
10 Ag 0.285 0.045 0.546
11 Ag 0.396 0.817 0.987
12 Ag 0.450 0.263 0.433
13 Ag 0.553 0.553 0.447
14 Ag 0.704 0.126 0.965
15 Ag 0.803 0.803 0.697
16 Ag 0.817 0.396 0.800

DFT total energy	-0.139	Ha/atom
spin magnetization	0.000	μB per atom
formation energy	-0.22	eV/atom
N(E_F)	11.74	states/eV per cell

---

VASP calculation (PBE) on a relaxed structure of CrSn2Pt9.

a = 4.009 Å, b = 4.009 Å, c = 12.074 Å
α = 90.00°, β = 90.00°, γ = 90.00°
Atoms (fractional coordinates):
1 Cr 0.000 0.000 0.000
2 Sn 0.000 0.000 0.328
3 Sn 0.000 0.000 0.672
4 Pt 0.000 0.500 0.158
5 Pt 0.000 0.500 0.500
6 Pt 0.000 0.500 0.842
7 Pt 0.500 0.000 0.158
8 Pt 0.500 0.000 0.500
9 Pt 0.500 0.000 0.842
10 Pt 0.500 0.500 0.000
11 Pt 0.500 0.500 0.330
12 Pt 0.500 0.500 0.670

DFT total energy	-0.233	Ha/atom
spin magnetization	0.237	μB per atom
formation energy	-0.33	eV/atom
N(E_F)	12.52	states/eV per cell

---

VASP calculation (PBE) on a relaxed structure of NaTeWN2.

a = 3.993 Å, b = 3.993 Å, c = 5.628 Å
α = 90.00°, β = 90.00°, γ = 90.00°
Atoms (fractional coordinates):
1 Na 0.000 0.000 0.000
2 Te 0.500 0.500 0.000
3 W 0.500 0.500 0.500
4 N 0.000 0.500 0.500
5 N 0.500 0.000 0.500

DFT total energy	-0.245	Ha/atom
spin magnetization	0.000	μB per atom
N(E_F)	2.89	states/eV per cell

---

- Look up the N(E_F) of the sixth one.
  2.89 states/eV per cell